Material: TcMoRh
Method: DFT, PBE
State: optimized geometry

As for the formation energy: -0.2 eV per formula unit. For the uncorrected energy, the calculation gives -115.0 eV per cell. The total magnetization comes out at 0.00 μB/f.u. As for the theoretical density: 11.09 g cm⁻³. The value obtained for the polymorph energy (0 for the lowest one) is 0.000 eV/atom.

It has space group Pnma (No. 62), with a = 4.778 Å, b = 4.434 Å, c = 8.390 Å, α = 90.00°, β = 90.00° and γ = 90.00°. Symmetry generates all atoms from Tc at (0.156, 0.250, 0.006), Mo at (0.163, 0.250, 0.666) and Rh at (0.168, 0.250, 0.334).